A relaxed structure of KPd2Cl2, computed with GGA-PBEsol.

Results
ΔE_f (raw)   -0.4870 eV/atom

Lattice parameters (Å, degrees): 3.725 3.725 14.776 90.00 90.00 90.00
Space group I4/mmm (No. 139)
Unique sites:
1 K 0.000 0.000 0.000
2 Pd 0.000 0.500 0.250
3 Cl 0.000 0.000 0.384